The following is a PBE calculation of an optimized crystal structure of Cs2LaSeF6, from the Alexandria database.

E_form (uncorrected) ... -2683 meV/atom

The structure in CIF format:
```
data_Cs2LaSeF6
_chemical_formula_sum 'Cs4 La2 Se2 F12'
_cell_length_a 6.5463
_cell_length_b 6.5463
_cell_length_c 11.7015
_cell_angle_alpha 90.00
_cell_angle_beta 90.00
_cell_angle_gamma 90.00
_symmetry_space_group_name_H-M 'I 4/m m m'
_symmetry_Int_Tables_number 139
_symmetry_space_group_name_Hall '-I 4 2'
loop_
_atom_site_label
_atom_site_type_symbol
_atom_site_fract_x
_atom_site_fract_y
_atom_site_fract_z
Cs1 Cs 0.0000 0.5000 0.2500
La1 La 0.0000 0.0000 0.0000
Se1 Se 0.0000 0.0000 0.5000
F1 F 0.0000 0.0000 0.1959
F2 F 0.2494 0.2494 0.5000
```